*A*
Entry from Alexandria: Tb2Dy2Tm after structural relaxation (PBE).

Lattice parameters (Å, degrees): 9.265 9.265 3.676 90.00 90.00 90.00
Element x y z (fractional)
Tb 0.172 0.328 0.000
Tb 0.328 0.828 0.000
Tb 0.672 0.172 0.000
Tb 0.828 0.672 0.000
Dy 0.127 0.627 0.500
Dy 0.373 0.127 0.500
Dy 0.627 0.873 0.500
Dy 0.873 0.373 0.500
Tm 0.000 0.000 0.500
Tm 0.500 0.500 0.500

## Properties
Its density of states at the Fermi level is 0.83 states/eV per atom.

=====

*B*
Entry from Alexandria: Tb2Dy2Tm after structural relaxation (PBE).

Lattice parameters (Å, degrees): 16.048 16.048 16.048 167.20 159.79 23.99
Element x y z (fractional)
Tb 0.272 0.022 0.250
Tb 0.370 0.120 0.250
Tb 0.630 0.880 0.750
Tb 0.728 0.978 0.750
Dy 0.057 0.807 0.250
Dy 0.458 0.708 0.750
Dy 0.542 0.292 0.250
Dy 0.943 0.193 0.750
Tm 0.172 0.422 0.750
Tm 0.828 0.578 0.250

## Properties
Its density of states at the Fermi level is 1.41 states/eV per atom.

=====

Which one is the least stable? From the structures above, *B*.